Density functional theory data (PBE) for a relaxed ScTeN2O crystal.

Results
Formation energy without anion corrections in meV/atom: 47

Cell and atoms, written as extended XYZ:
```
5
Lattice="4.071 0.000 0.000 0.000 4.071 0.000 0.000 0.000 3.963" Properties=species:S:1:pos:R:3 pbc="T T T"
Sc 0.000 0.000 0.000
Te 2.035 2.035 1.982
N 0.000 2.035 1.982
N 2.035 0.000 1.982
O 2.035 2.035 0.000
```


Density functional theory data (PBE) for a relaxed Tb5Cu2Sn crystal.

Cell and atoms, written as extended XYZ:
```
16
Lattice="-3.958 3.958 6.551 3.958 -3.958 6.551 3.958 3.958 -6.551" Properties=species:S:1:pos:R:3 pbc="T T T"
Tb 0.000 0.000 0.000
Tb 5.195 1.237 -1.868
Tb 1.237 2.721 -1.868
Tb 5.195 1.237 1.868
Tb 1.237 2.721 1.868
Tb 0.000 0.000 6.551
Tb 2.721 1.237 4.683
Tb -1.237 2.721 4.683
Tb 2.721 1.237 8.420
Tb -1.237 2.721 8.420
Cu 2.940 1.018 0.000
Cu 2.940 -1.018 6.551
Cu 1.018 4.976 0.000
Cu 1.018 2.940 6.551
Sn 0.000 0.000 3.276
Sn 0.000 0.000 9.827
```


Per-record uncorrected energy, eV/atom: -6.169; -4.758